# 1
EuSbAu2 | GGA-PBE | optimized geometry

Structure (CIF):
```
data_EuSbAu2
_space_group_name_H-M_alt 'P 4/m m m'
_space_group_IT_number 123
_space_group_name_Hall '-P 4 2'
_cell_length_a 4.630
_cell_length_b 4.630
_cell_length_c 4.367
_cell_angle_alpha 90.00
_cell_angle_beta 90.00
_cell_angle_gamma 90.00
loop_
_atom_site_label
_atom_site_type_symbol
_atom_site_fract_x
_atom_site_fract_y
_atom_site_fract_z
_atom_site_occupancy
Eu1 Eu 0.000 0.000 0.000 1
Sb1 Sb 0.500 0.500 0.000 1
Au1 Au 0.000 0.500 0.500 1
```

Calculated values
Total DFT energy (no corrections) in eV per atom: -5.7475
Formation energy (no corrections) in meV/atom: -510
Polymorph energy (0 for the lowest one) in eV per atom: 0.064
Density of states at the Fermi level in states/eV per atom: 2.86
Magnetic moment in μB/f.u.: 6.91

***

# 2
EuSbAu2 | GGA-PBE | optimized geometry

Structure (CIF):
```
data_EuSbAu2
_space_group_name_H-M_alt 'P 4/m m m'
_space_group_IT_number 123
_space_group_name_Hall '-P 4 2'
_cell_length_a 3.879
_cell_length_b 3.879
_cell_length_c 6.372
_cell_angle_alpha 90.00
_cell_angle_beta 90.00
_cell_angle_gamma 90.00
loop_
_atom_site_label
_atom_site_type_symbol
_atom_site_fract_x
_atom_site_fract_y
_atom_site_fract_z
_atom_site_occupancy
Eu1 Eu 0.000 0.000 0.000 1
Sb1 Sb 0.000 0.000 0.500 1
Au1 Au 0.500 0.500 0.253 1
```

Calculated values
Total DFT energy (no corrections) in eV per atom: -5.7028
Formation energy (no corrections) in meV/atom: -465
Polymorph energy (0 for the lowest one) in eV per atom: 0.109
Density of states at the Fermi level in states/eV per atom: 2.58
Magnetic moment in μB/f.u.: 6.86

***

Among the records above, which one has the highest total DFT energy (no corrections)? number 2

***

Which value of density of states at the Fermi level does entry 2 give? 2.58 states/eV per atom